Record 1
4
Lattice="2.862 -4.385 0.000 2.862 4.385 0.000 -1.141 0.000 2.571" Properties=species:S:1:pos:R:3 comment="Os2SeBr (SCAN, single point on PBEsol structure)" dos_ef_per_ev_atom=1.1482 total_energy_ev_per_atom=-44.33 polymorph_energy_mev_per_atom=533 raw_formation_energy_kcal_per_mol_atoms=34.46 pbc="T T T"
Os 1.431 2.192 0.000
Os 1.431 -2.192 0.000
Se 0.000 0.000 0.000
Br 2.862 0.000 0.000



Record 2
4
Lattice="3.050 0.000 0.000 0.000 4.515 0.000 0.000 0.000 5.450" Properties=species:S:1:pos:R:3 comment="OsSeBr2 (SCAN, single point on PBEsol structure)" dos_ef_per_ev_atom=0.7343 total_energy_ev_per_atom=-31.34 polymorph_energy_mev_per_atom=1195 raw_formation_energy_kcal_per_mol_atoms=31.89 pbc="T T T"
Os 0.000 0.000 0.000
Se 1.525 0.000 2.725
Br 0.000 2.257 2.725
Br 1.525 2.257 0.000



Record 3
4
Lattice="3.063 -3.943 0.000 3.063 3.943 0.000 0.000 0.000 3.023" Properties=species:S:1:pos:R:3 comment="OsSeBr2 (SCAN, single point on PBEsol structure)" dos_ef_per_ev_atom=0.9266 total_energy_ev_per_atom=-31.04 polymorph_energy_mev_per_atom=1488 raw_formation_energy_kcal_per_mol_atoms=38.64 pbc="T T T"
Os 0.000 0.000 0.000
Se 3.063 0.000 0.000
Br 1.532 1.971 1.511
Br 1.532 -1.971 1.511



Record 4
4
Lattice="1.828 1.055 7.705 -1.828 1.055 7.705 0.000 -2.110 7.705" Properties=species:S:1:pos:R:3 comment="OsSeBr2 (SCAN, single point on PBEsol structure)" dos_ef_per_ev_atom=0.7952 total_energy_ev_per_atom=-32.53 polymorph_energy_mev_per_atom=0 raw_formation_energy_kcal_per_mol_atoms=4.32 pbc="T T T"
Os 0.000 0.000 0.000
Se 0.000 0.000 16.551
Br 0.000 0.000 6.173
Br 0.000 0.000 11.204



Record 5
4
Lattice="3.407 -1.615 0.000 3.407 1.615 0.000 -0.480 0.000 7.943" Properties=species:S:1:pos:R:3 comment="OsSe2Br (SCAN, single point on PBEsol structure)" dos_ef_per_ev_atom=0.4242 total_energy_ev_per_atom=-32.58 polymorph_energy_mev_per_atom=0 raw_formation_energy_kcal_per_mol_atoms=6.71 pbc="T T T"
Os 0.000 0.000 0.000
Se 2.104 0.000 1.185
Se 2.190 0.000 3.526
Br 4.305 0.000 6.323



Record 6
4
Lattice="1.411 -2.659 0.000 1.411 2.659 0.000 0.000 0.000 10.957" Properties=species:S:1:pos:R:3 comment="OsSe2Br (SCAN, single point on PBEsol structure)" dos_ef_per_ev_atom=0.8213 total_energy_ev_per_atom=-32.32 polymorph_energy_mev_per_atom=263 raw_formation_energy_kcal_per_mol_atoms=12.78 pbc="T T T"
Os 0.000 0.000 0.000
Se 1.411 0.000 2.078
Se 1.411 0.000 8.878
Br 0.000 0.000 5.478



Record 7
3
Lattice="-1.524 1.524 6.391 1.524 -1.524 6.391 1.524 1.524 -6.391" Properties=species:S:1:pos:R:3 comment="OsSeBr (SCAN, single point on PBEsol structure)" dos_ef_per_ev_atom=0.7602 total_energy_ev_per_atom=-36.56 raw_formation_energy_kcal_per_mol_atoms=13.27 pbc="T T T"
Os 0.000 0.000 0.000
Se 0.000 0.000 7.710
Br 0.000 0.000 4.437



Record 8
4
Lattice="2.845 0.000 0.000 0.000 4.363 0.000 0.000 0.000 5.184" Properties=species:S:1:pos:R:3 comment="Os2SeBr (SCAN, single point on PBEsol structure)" dos_ef_per_ev_atom=1.0567 total_energy_ev_per_atom=-44.30 polymorph_energy_mev_per_atom=559 raw_formation_energy_kcal_per_mol_atoms=35.05 pbc="T T T"
Os 0.000 0.000 0.000
Os 1.422 0.000 2.592
Se 0.000 2.181 2.592
Br 1.422 2.181 0.000



Record 9
4
Lattice="-1.560 2.453 5.604 1.560 -2.453 5.604 1.560 2.453 -5.604" Properties=species:S:1:pos:R:3 comment="OsSeBr2 (SCAN, single point on PBEsol structure)" dos_ef_per_ev_atom=0.6504 total_energy_ev_per_atom=-32.21 polymorph_energy_mev_per_atom=326 raw_formation_energy_kcal_per_mol_atoms=11.83 pbc="T T T"
Os 0.000 0.000 0.000
Se 0.000 2.453 3.810
Br 1.560 0.000 2.190
Br 0.000 0.000 5.723



Record 10
15
Lattice="6.928 -5.621 0.000 6.928 5.621 0.000 -2.330 0.000 6.012" Properties=species:S:1:pos:R:3 comment="OsSe2Br12 (SCAN, single point on PBEsol structure)" dos_ef_per_ev_atom=0.0160 total_energy_ev_per_atom=-23.18 raw_formation_energy_kcal_per_mol_atoms=-3.23 pbc="T T T"
Os 0.000 0.000 0.000
Se 3.241 0.000 1.559
Se 8.286 0.000 4.453
Br 3.717 3.902 4.484
Br -0.138 0.000 4.882
Br 4.731 1.808 1.106
Br 7.810 3.902 1.528
Br 3.346 0.000 3.945
Br 6.796 1.808 4.906
Br 4.731 -1.808 1.106
Br 8.181 0.000 2.067
Br 3.717 -3.902 4.484
Br 6.796 -1.808 4.906
Br 11.665 0.000 1.130
Br 7.810 -3.902 1.528



Record 11
4
Lattice="3.016 0.000 0.000 0.000 3.016 0.000 0.000 0.000 9.626" Properties=species:S:1:pos:R:3 comment="OsSeBr2 (SCAN, single point on PBEsol structure)" dos_ef_per_ev_atom=0.5876 total_energy_ev_per_atom=-32.23 polymorph_energy_mev_per_atom=300 raw_formation_energy_kcal_per_mol_atoms=11.25 pbc="T T T"
Os 0.000 0.000 0.000
Se 1.508 1.508 1.355
Br 0.000 0.000 4.366
Br 1.508 1.508 7.691



Record 12
5
Lattice="5.037 0.000 0.000 0.000 5.037 0.000 0.000 0.000 4.670" Properties=species:S:1:pos:R:3 comment="SiOsSeBr2 (SCAN, single point on PBEsol structure)" dos_ef_per_ev_atom=0.6575 total_energy_ev_per_atom=-27.28 raw_formation_energy_kcal_per_mol_atoms=20.77 pbc="T T T"
Si 0.000 0.000 0.000
Os 2.518 2.518 2.335
Se 2.518 2.518 0.000
Br 0.000 2.518 2.335
Br 2.518 0.000 2.335



Record 13
5
Lattice="5.283 0.000 0.000 0.000 5.283 0.000 0.000 0.000 4.611" Properties=species:S:1:pos:R:3 comment="TlOsSeBr2 (SCAN, single point on PBEsol structure)" dos_ef_per_ev_atom=0.5313 total_energy_ev_per_atom=-40.58 raw_formation_energy_kcal_per_mol_atoms=1.55 pbc="T T T"
Tl 0.000 0.000 0.000
Os 2.641 2.641 2.305
Se 2.641 2.641 0.000
Br 0.000 2.641 2.305
Br 2.641 0.000 2.305



Record 14
5
Lattice="5.028 0.000 0.000 0.000 5.028 0.000 0.000 0.000 4.675" Properties=species:S:1:pos:R:3 comment="OsWSeBr2 (SCAN, single point on PBEsol structure)" dos_ef_per_ev_atom=1.1039 total_energy_ev_per_atom=-38.45 raw_formation_energy_kcal_per_mol_atoms=38.26 pbc="T T T"
Os 0.000 0.000 0.000
W 2.514 2.514 2.337
Se 0.000 0.000 2.337
Br 0.000 2.514 0.000
Br 2.514 0.000 0.000



Record 15
4
Lattice="3.919 0.000 0.000 0.000 3.742 0.000 -0.132 0.000 5.490" Properties=species:S:1:pos:R:3 comment="Si2OsBr (SCAN, single point on PBEsol structure)" dos_ef_per_ev_atom=0.5381 total_energy_ev_per_atom=-27.49 polymorph_energy_mev_per_atom=73 raw_formation_energy_kcal_per_mol_atoms=8.07 pbc="T T T"
Si 0.000 0.000 0.000
Si 1.526 1.871 0.033
Os 1.894 0.000 4.204
Br 2.410 1.871 2.412



Record 16
8
Lattice="-2.903 2.903 5.562 2.903 -2.903 5.562 2.903 2.903 -5.562" Properties=species:S:1:pos:R:3 comment="Si2OsBr (SCAN, single point on PBEsol structure)" dos_ef_per_ev_atom=0.4868 total_energy_ev_per_atom=-27.41 polymorph_energy_mev_per_atom=159 raw_formation_energy_kcal_per_mol_atoms=10.05 pbc="T T T"
Si 4.355 1.011 -1.391
Si 1.011 1.452 1.391
Si -1.452 1.893 4.172
Si 1.893 1.452 6.953
Os 0.000 0.000 0.000
Os 0.000 2.903 2.781
Br 2.903 0.000 2.781
Br 0.000 0.000 5.562



Record 17
4
Lattice="7.518 -1.500 0.000 7.518 1.500 0.000 -0.982 0.000 3.831" Properties=species:S:1:pos:R:3 comment="SiOsBr2 (SCAN, single point on PBEsol structure)" dos_ef_per_ev_atom=0.5027 total_energy_ev_per_atom=-29.80 raw_formation_energy_kcal_per_mol_atoms=9.33 pbc="T T T"
Si 0.000 0.000 0.000
Os 7.027 0.000 1.916
Br 1.521 0.000 2.960
Br 12.532 0.000 0.871



Record 18
4
Lattice="1.586 0.916 7.519 -1.586 0.916 7.519 0.000 -1.831 7.519" Properties=species:S:1:pos:R:3 comment="Si2OsBr (SCAN, single point on PBEsol structure)" dos_ef_per_ev_atom=0.3976 total_energy_ev_per_atom=-27.57 polymorph_energy_mev_per_atom=0 raw_formation_energy_kcal_per_mol_atoms=6.39 pbc="T T T"
Si 0.000 0.000 5.395
Si 0.000 0.000 17.160
Os 0.000 0.000 11.278
Br 0.000 0.000 0.000



Record 19
5
Lattice="5.065 0.000 0.000 0.000 5.065 0.000 0.000 0.000 4.915" Properties=species:S:1:pos:R:3 comment="ZrSi2OsBr (SCAN, single point on PBEsol structure)" dos_ef_per_ev_atom=0.8454 total_energy_ev_per_atom=-26.71 raw_formation_energy_kcal_per_mol_atoms=39.25 pbc="T T T"
Zr 0.000 0.000 0.000
Si 0.000 2.533 0.000
Si 2.533 0.000 0.000
Os 2.533 2.533 2.458
Br 0.000 0.000 2.458



Record 20
5
Lattice="5.085 0.000 0.000 0.000 5.085 0.000 0.000 0.000 5.085" Properties=species:S:1:pos:R:3 comment="Sn3OsBr (SCAN, single point on PBEsol structure)" dos_ef_per_ev_atom=0.6794 total_energy_ev_per_atom=-39.89 raw_formation_energy_kcal_per_mol_atoms=-1.49 pbc="T T T"
Sn 0.000 0.000 2.542
Sn 0.000 2.542 0.000
Sn 2.542 0.000 0.000
Os 0.000 0.000 0.000
Br 2.542 2.542 2.542



Record 21
4
Lattice="2.739 1.581 3.692 -2.739 1.581 3.692 0.000 -3.162 3.692" Properties=species:S:1:pos:R:3 comment="SrOsBr2 (SCAN, single point on PBEsol structure)" total_energy_ev_per_atom=-33.34 polymorph_energy_mev_per_atom=0 raw_formation_energy_kcal_per_mol_atoms=-1.72 pbc="T T T"
Sr 0.000 0.000 0.000
Os 0.000 0.000 5.537
Br 0.000 0.000 3.105
Br 0.000 0.000 7.970



Record 22
6
Lattice="0.000 4.583 4.583 4.583 0.000 4.583 4.583 4.583 0.000" Properties=species:S:1:pos:R:3 comment="Sr4OsBr (SCAN, single point on PBEsol structure)" dos_ef_per_ev_atom=0.6916 total_energy_ev_per_atom=-29.11 raw_formation_energy_kcal_per_mol_atoms=22.27 pbc="T T T"
Sr 1.132 1.132 1.132
Sr 3.451 3.451 1.132
Sr 3.451 1.132 3.451
Sr 1.132 3.451 3.451
Os 6.874 6.874 6.874
Br 4.583 4.583 4.583



Record 23
4
Lattice="0.000 3.712 3.712 3.712 0.000 3.712 3.712 3.712 0.000" Properties=species:S:1:pos:R:3 comment="SrOsBr2 (SCAN, single point on PBEsol structure)" dos_ef_per_ev_atom=1.1775 total_energy_ev_per_atom=-32.76 polymorph_energy_mev_per_atom=583 raw_formation_energy_kcal_per_mol_atoms=11.71 pbc="T T T"
Sr 0.000 0.000 0.000
Os 5.569 5.569 5.569
Br 1.856 1.856 1.856
Br 3.712 3.712 3.712



Record 24
4
Lattice="8.238 -1.678 0.000 8.238 1.678 0.000 -0.002 0.000 3.626" Properties=species:S:1:pos:R:3 comment="SrOsBr2 (SCAN, single point on PBEsol structure)" dos_ef_per_ev_atom=0.4053 total_energy_ev_per_atom=-33.31 polymorph_energy_mev_per_atom=29 raw_formation_energy_kcal_per_mol_atoms=-1.05 pbc="T T T"
Sr 0.000 0.000 0.000
Os 5.863 0.000 1.803
Br 10.022 0.000 1.813
Br 13.381 0.000 3.615



Record 25
3
Lattice="0.000 3.403 3.403 3.403 0.000 3.403 3.403 3.403 0.000" Properties=species:S:1:pos:R:3 comment="SrOsBr (SCAN, single point on PBEsol structure)" dos_ef_per_ev_atom=0.3377 total_energy_ev_per_atom=-37.05 polymorph_energy_mev_per_atom=380 raw_formation_energy_kcal_per_mol_atoms=18.98 pbc="T T T"
Sr 0.000 0.000 0.000
Os 3.403 3.403 3.403
Br 5.104 5.104 5.104



Record 26
5
Lattice="5.772 0.000 0.000 0.000 5.772 0.000 0.000 0.000 5.772" Properties=species:S:1:pos:R:3 comment="SrOsBr3 (SCAN, single point on PBEsol structure)" dos_ef_per_ev_atom=1.2601 total_energy_ev_per_atom=-30.34 raw_formation_energy_kcal_per_mol_atoms=3.76 pbc="T T T"
Sr 0.000 0.000 0.000
Os 2.886 2.886 2.886
Br 0.000 0.000 2.886
Br 0.000 2.886 0.000
Br 2.886 0.000 0.000



Record 27
5
Lattice="5.010 0.000 0.000 0.000 5.010 0.000 0.000 0.000 5.010" Properties=species:S:1:pos:R:3 comment="SrOs3Br (SCAN, single point on PBEsol structure)" dos_ef_per_ev_atom=0.9287 total_energy_ev_per_atom=-47.55 raw_formation_energy_kcal_per_mol_atoms=90.49 pbc="T T T"
Sr 0.000 0.000 0.000
Os 0.000 0.000 2.505
Os 0.000 2.505 0.000
Os 2.505 0.000 0.000
Br 2.505 2.505 2.505



Record 28
3
Lattice="4.268 0.000 0.000 -2.134 3.696 0.000 0.000 0.000 4.384" Properties=species:S:1:pos:R:3 comment="SrOsBr (SCAN, single point on PBEsol structure)" dos_ef_per_ev_atom=1.0910 total_energy_ev_per_atom=-37.43 polymorph_energy_mev_per_atom=0 raw_formation_energy_kcal_per_mol_atoms=10.21 pbc="T T T"
Sr 0.000 0.000 0.000
Os 0.000 2.464 2.192
Br 2.134 1.232 2.192



Record 29
5
Lattice="5.848 0.000 0.000 0.000 5.848 0.000 0.000 0.000 4.635" Properties=species:S:1:pos:R:3 comment="Sr2TiOsBr (SCAN, single point on PBEsol structure)" dos_ef_per_ev_atom=0.7969 total_energy_ev_per_atom=-29.22 raw_formation_energy_kcal_per_mol_atoms=26.75 pbc="T T T"
Sr 0.000 2.924 0.000
Sr 2.924 0.000 0.000
Ti 0.000 0.000 0.000
Os 2.924 2.924 2.318
Br 0.000 0.000 2.318